[1]
First-principles (PBE-GGA) data for a geometry-optimized Tm2U2S7 structure, as listed in Alexandria.

Cell: 9.0687 9.0687 9.0687 Å, 60.00 60.00 60.00°
Closest atoms and distances in Å follow each position.
Atoms (fractional coordinates):
S1 0.0133 0.4867 0.4867  2 Tm 2.68, 2 U 2.88
S2 0.4867 0.0133 0.0133  2 Tm 2.68, 2 U 2.88
S3 0.0133 0.0133 0.4867  2 Tm 2.68, 2 U 2.88
Tm1 0.1250 0.1250 0.1250  6 S 2.68
U1 0.6250 0.1250 0.6250  8 S 2.78-2.88
S4 0.0133 0.4867 0.0133  2 Tm 2.68, 2 U 2.88
U2 0.6250 0.6250 0.6250  8 S 2.78-2.88
S5 0.7633 0.2367 0.2367  2 Tm 2.68, 2 U 2.88
S6 0.2367 0.7633 0.2367  2 Tm 2.68, 2 U 2.88
Tm2 0.1250 0.6250 0.1250  6 S 2.68
S7 0.4867 0.0133 0.4867  2 Tm 2.68, 2 U 2.88
S8 0.2367 0.2367 0.7633  2 Tm 2.68, 2 U 2.88
S9 0.7633 0.2367 0.7633  2 Tm 2.68, 2 U 2.88
S10 0.2367 0.7633 0.7633  2 Tm 2.68, 2 U 2.88
S11 0.5000 0.5000 0.5000  4 U 2.78
S12 0.7500 0.7500 0.7500  4 U 2.78
U3 0.6250 0.6250 0.1250  8 S 2.78-2.88
U4 0.1250 0.6250 0.6250  8 S 2.78-2.88
S13 0.4867 0.4867 0.0133  2 Tm 2.68, 2 U 2.88
S14 0.7633 0.7633 0.2367  2 Tm 2.68, 2 U 2.88
Tm3 0.1250 0.1250 0.6250  6 S 2.68
Tm4 0.6250 0.1250 0.1250  6 S 2.68

formation energy from raw total energies	-1541	meV/atom
total magnetization	4.0	μB per formula unit
DFT total energy	-7.033	eV/atom

***

[2]
First-principles (PBE-GGA) data for a geometry-optimized KTl3Ga3 structure, as listed in Alexandria.

Cell: 7.9104 7.9104 7.9104 Å, 90.00 90.00 90.00°
Closest atoms and distances in Å follow each position.
Atoms (fractional coordinates):
Tl1 0.0000 0.5000 0.2500  4 Ga 2.80
Tl2 0.2500 0.0000 0.5000  4 Ga 2.80
Ga1 0.2500 0.5000 0.0000  4 Tl 2.80
Tl3 0.7500 0.0000 0.5000  4 Ga 2.80
Ga2 0.5000 0.0000 0.7500  4 Tl 2.80
Tl4 0.0000 0.5000 0.7500  4 Ga 2.80
Tl5 0.5000 0.2500 0.0000  4 Ga 2.80
Ga3 0.5000 0.0000 0.2500  4 Tl 2.80
Ga4 0.0000 0.7500 0.5000  4 Tl 2.80
Ga5 0.0000 0.2500 0.5000  4 Tl 2.80
Ga6 0.7500 0.5000 0.0000  4 Tl 2.80
K1 0.5000 0.5000 0.5000  12 Tl 4.42, 12 Ga 4.42
Tl6 0.5000 0.7500 0.0000  4 Ga 2.80
K2 0.0000 0.0000 0.0000  12 Tl 4.42, 12 Ga 4.42

DFT formation energy	0.14	eV/atom
total magnetization	0.0	μB per formula unit
DFT total energy	-2.325	eV/atom

***

[3]
First-principles (PBE-GGA) data for a geometry-optimized LiTi2Hg2 structure, as listed in Alexandria.

Cell: 8.1307 8.1307 3.0949 Å, 90.00 90.00 90.00°
Closest atoms and distances in Å follow each position.
Atoms (fractional coordinates):
Ti1 0.3865 0.1135 0.5000  1 Ti 2.61, 6 Hg 2.82-2.91
Hg1 0.3183 0.8183 0.0000  6 Ti 2.82-2.91, 2 Li 2.98, 2 Hg 3.09
Ti2 0.8865 0.3865 0.5000  1 Ti 2.61, 6 Hg 2.82-2.91
Hg2 0.6817 0.1817 0.0000  6 Ti 2.82-2.91, 2 Li 2.98, 2 Hg 3.09
Li1 0.0000 0.0000 0.0000  4 Hg 2.98, 2 Li 3.09
Ti3 0.1135 0.6135 0.5000  1 Ti 2.61, 6 Hg 2.82-2.91
Hg3 0.1817 0.3183 0.0000  6 Ti 2.82-2.91, 2 Li 2.98, 2 Hg 3.09
Hg4 0.8183 0.6817 0.0000  6 Ti 2.82-2.91, 2 Li 2.98, 2 Hg 3.09
Ti4 0.6135 0.8865 0.5000  1 Ti 2.61, 6 Hg 2.82-2.91
Li2 0.5000 0.5000 0.0000  4 Hg 2.98, 2 Li 3.09

DFT formation energy	0.06	eV/atom
total magnetization	1.8	μB per formula unit
DFT total energy	-3.605	eV/atom

***

[4]
First-principles (PBE-GGA) data for a geometry-optimized ZrScSe structure, as listed in Alexandria.

Cell: 3.5253 13.9724 5.3310 Å, 90.00 90.00 90.00°
Closest atoms and distances in Å follow each position.
Atoms (fractional coordinates):
Sc1 0.5000 0.8455 0.2500  4 Se 2.72-2.78
Se1 0.0000 0.3081 0.7500  4 Sc 2.72-2.78, 2 Zr 2.75
Se2 0.0000 0.6919 0.2500  4 Sc 2.72-2.78, 2 Zr 2.75
Sc2 0.0000 0.6545 0.7500  4 Se 2.72-2.78
Zr1 0.5000 0.5411 0.2500  2 Se 2.75, 2 Zr 2.90
Zr2 0.0000 0.9589 0.7500  2 Se 2.75, 2 Zr 2.90
Zr3 0.0000 0.0411 0.2500  2 Se 2.75, 2 Zr 2.90
Sc3 0.0000 0.3455 0.2500  4 Se 2.72-2.78
Se3 0.5000 0.8081 0.7500  4 Sc 2.72-2.78, 2 Zr 2.75
Sc4 0.5000 0.1545 0.7500  4 Se 2.72-2.78
Se4 0.5000 0.1919 0.2500  4 Sc 2.72-2.78, 2 Zr 2.75
Zr4 0.5000 0.4589 0.7500  2 Se 2.75, 2 Zr 2.90

formation energy from raw total energies	-996	meV/atom
total magnetization	0.0	μB per formula unit
DFT total energy	-7.118	eV/atom